# La4SnPd | Alexandria | PBE-GGA | relaxed
data_La4SnPd
_cell_length_a 10.892
_cell_length_b 10.892
_cell_length_c 6.644
_cell_angle_alpha 90.00
_cell_angle_beta 90.00
_cell_angle_gamma 150.07
_symmetry_space_group_name_H-M 'P 1'
_symmetry_Int_Tables_number 1
loop_
_symmetry_equiv_pos_as_xyz
'x,y,z'
loop_
_atom_site_label
_atom_site_type_symbol
_atom_site_fract_x
_atom_site_fract_y
_atom_site_fract_z
_atom_site_occupancy
La1 La 0.053 0.947 0.750 1
La2 La 0.210 0.790 0.515 1
La3 La 0.210 0.790 0.985 1
La4 La 0.397 0.603 0.750 1
La5 La 0.603 0.397 0.250 1
La6 La 0.790 0.210 0.015 1
La7 La 0.790 0.210 0.485 1
La8 La 0.947 0.053 0.250 1
Sn1 Sn 0.351 0.649 0.250 1
Sn2 Sn 0.649 0.351 0.750 1
Pd1 Pd 0.084 0.916 0.250 1
Pd2 Pd 0.916 0.084 0.750 1
# Uncorrected energy   -5.304 eV/atom
# Space group   No. 63
# Energy relative to the elements   -0.4861 eV per atom